# 1
An optimized crystal structure of Rb2BaIO4. Source: Alexandria via LeMat-Bulk, functional PBE.

Unit cell a=6.1301 b=6.1301 c=6.1301 alpha=113.01 beta=113.01 gamma=102.61
Element x y z (fractional)
Rb: 0.0000 0.0000 0.0000
Rb: 0.7500 0.2500 0.5000
Ba: 0.5000 0.5000 0.0000
I: 0.2500 0.7500 0.5000
O: 0.1023 0.0293 0.5632
O: 0.4609 0.8977 0.9270
O: 0.4661 0.5391 0.4368
O: 0.9707 0.5339 0.0730

Output
**Calculated total energy**: -4.446 eV/atom
**Symmetry**: I-4
**Size of the total moment**: 1.063 μB per formula unit
**Formation energy (no corrections)**: -997 kJ/mol of formula units



# 2
An optimized crystal structure of BaReIO2. Source: Alexandria via LeMat-Bulk, functional PBE.

Unit cell a=4.3056 b=4.3056 c=5.4229 alpha=90.00 beta=90.00 gamma=90.00
Element x y z (fractional)
Ba: 0.0000 0.0000 0.0000
Re: 0.5000 0.5000 0.5000
I: 0.5000 0.5000 0.0000
O: 0.0000 0.5000 0.5000
O: 0.5000 0.0000 0.5000

Output
**Calculated total energy**: -5.832 eV/atom
**Energy above the most stable polymorph in this dataset**: 0 meV/atom
**Symmetry**: P4/mmm
**Size of the total moment**: 0.160 μB per formula unit
**Formation energy (no corrections)**: -320 kJ/mol of formula units



# 3
An optimized crystal structure of BaReIO2. Source: Alexandria via LeMat-Bulk, functional PBE.

Unit cell a=4.4978 b=4.4978 c=7.1846 alpha=90.00 beta=90.00 gamma=90.00
Element x y z (fractional)
Ba: 0.0000 0.0000 0.0000
Re: 0.5000 0.5000 0.5000
I: 0.0000 0.0000 0.5000
O: 0.0000 0.5000 0.0000
O: 0.5000 0.0000 0.0000

Output
**Calculated total energy**: -4.510 eV/atom
**Energy above the most stable polymorph in this dataset**: 1322 meV/atom
**Symmetry**: P4/mmm
**Size of the total moment**: 4.910 μB per formula unit
**Formation energy (no corrections)**: 317 kJ/mol of formula units



# 4
An optimized crystal structure of BaRhI2O8. Source: Alexandria via LeMat-Bulk, functional PBE.

Unit cell a=6.1073 b=6.1073 c=7.3734 alpha=98.51 beta=98.51 gamma=54.73
Element x y z (fractional)
Ba: 0.0000 0.0000 0.0000
Rh: 0.0000 0.0000 0.5000
I: 0.3423 0.3423 0.3618
I: 0.6577 0.6577 0.6382
O: 0.1770 0.1770 0.4836
O: 0.2153 0.7037 0.3015
O: 0.2526 0.2526 0.1320
O: 0.2963 0.7847 0.6985
O: 0.7037 0.2153 0.3015
O: 0.7474 0.7474 0.8680
O: 0.7847 0.2963 0.6985
O: 0.8230 0.8230 0.5164

Output
**Calculated total energy**: -5.135 eV/atom
**Symmetry**: C2/m
**Size of the total moment**: 1.038 μB per formula unit
**Formation energy (no corrections)**: -925 kJ/mol of formula units